4
Lattice="-3.0145 -0.0043 -1.9853 -1.9290 -3.0312 -0.3457 -5.3359 0.6969 4.8192" Properties=species:S:1:pos:R:3 comment="PmSnO2 | the Alexandria database | PBE-GGA | optimized geometry" raw_formation_energy_ev_per_atom=-2.299 final_energy_ry_per_atom=-0.51200 pbc="T T T"
O -4.0954 0.1221 2.9369
O -6.1839 -2.4608 -0.4488
Sn 0.0000 0.0000 0.0000
Pm -5.1397 -1.1693 1.2441